Computed, not measured: a relaxed structure of SrCuAu at the GGA-PBE level of DFT.

The value obtained for the formation energy is -255 meV/atom. The calculation puts the total moment at 0.000 μB per formula unit. For the excess energy over the best structure of this formula in the dataset, the calculation gives 0.65 eV/f.u. The crystal system is cubic.

The structure belongs to space group F-43m (No. 216); the cell edges are 6.731, 6.731 and 6.731 Å and the angles 90.00°, 90.00° and 90.00°. The inequivalent atoms are Sr at (0.000, 0.000, 0.000), Cu at (0.250, 0.250, 0.250) and Au at (0.000, 0.000, 0.500).